(1)
VASP calculation (PBE-GGA) on crystalline AcCuAgS3 at its relaxed geometry.

Calculated values
For the formation energy from raw total energies, the calculation gives -0.858 eV/atom. Its size of the total moment is 0.00 μB per cell. As for the total energy: -4.76 eV per atom.

Cell and atoms, written as POSCAR:
```
AcCuAgS3
1.0
8.122 0.000 0.000
0.000 4.094 0.000
-2.066 0.000 8.131
Ac Cu Ag S
2 2 2 6
Cartesian
1.190 1.024 1.872 Ac
4.866 3.071 6.259 Ac
-0.492 1.024 4.853 Cu
6.548 3.071 3.277 Cu
0.987 3.071 6.881 Ag
5.069 1.024 1.249 Ag
-1.198 1.024 7.029 S
0.605 3.071 4.290 S
3.231 3.071 1.329 S
2.825 1.024 6.802 S
5.451 1.024 3.841 S
7.254 3.071 1.102 S
```



(2)
VASP calculation (PBE-GGA) on crystalline AcCuAg2S4 at its relaxed geometry.

Calculated values
For the formation energy from raw total energies, the calculation gives -0.631 eV/atom. Its size of the total moment is 0.00 μB per cell. As for the total energy: -4.43 eV per atom.

Cell and atoms, written as POSCAR:
```
AcCuAg2S4
1.0
2.055 -6.742 0.000
2.055 6.742 0.000
0.000 0.000 12.472
Ac Cu Ag S
2 2 4 8
Cartesian
2.055 5.590 9.354 Ac
2.055 -5.590 3.118 Ac
2.055 4.389 3.118 Cu
2.055 -4.389 9.354 Cu
2.055 1.618 6.874 Ag
2.055 1.618 11.834 Ag
2.055 -1.618 0.638 Ag
2.055 -1.618 5.598 Ag
0.000 0.000 0.000 S
0.000 0.000 6.236 S
2.055 2.673 1.574 S
2.055 2.673 4.662 S
2.055 1.140 9.354 S
2.055 -1.140 3.118 S
2.055 -2.673 7.810 S
2.055 -2.673 10.898 S
```



(3)
VASP calculation (PBE-GGA) on crystalline AcCuAgSb at its relaxed geometry.

Calculated values
For the formation energy from raw total energies, the calculation gives -0.263 eV/atom. Its size of the total moment is 0.00 μB per cell. As for the total energy: -4.06 eV per atom.

Cell and atoms, written as POSCAR:
```
AcCuAgSb
1.0
0.000 3.648 3.648
3.648 0.000 3.648
3.648 3.648 0.000
Ac Cu Ag Sb
1 1 1 1
Cartesian
0.000 0.000 0.000 Ac
5.472 5.472 5.472 Cu
1.824 1.824 1.824 Ag
3.648 3.648 3.648 Sb
```



(4)
VASP calculation (PBE-GGA) on crystalline AcCuAgSe3 at its relaxed geometry.

Calculated values
For the formation energy from raw total energies, the calculation gives -0.818 eV/atom. Its size of the total moment is 0.00 μB per cell. As for the total energy: -4.40 eV per atom.

Cell and atoms, written as POSCAR:
```
AcCuAgSe3
1.0
8.204 0.000 0.000
0.000 4.215 0.000
-0.552 0.000 9.028
Ac Cu Ag Se
2 2 2 6
Cartesian
1.144 1.054 1.913 Ac
6.507 3.162 7.115 Ac
0.458 1.054 5.317 Cu
7.193 3.162 3.711 Cu
2.545 3.162 8.087 Ag
5.107 1.054 0.941 Ag
0.577 1.054 7.769 Se
1.363 3.162 4.426 Se
3.420 3.162 1.741 Se
4.232 1.054 7.287 Se
6.289 1.054 4.602 Se
7.074 3.162 1.259 Se
```



(5)
VASP calculation (PBE-GGA) on crystalline Ac2Cu4Si3Ag at its relaxed geometry.

Calculated values
For the formation energy from raw total energies, the calculation gives -0.383 eV/atom. Its size of the total moment is 0.00 μB per cell. As for the total energy: -4.75 eV per atom.

Cell and atoms, written as POSCAR:
```
Ac2Cu4Si3Ag
1.0
4.358 0.000 0.000
0.000 4.358 0.000
0.000 0.000 9.972
Ac Cu Si Ag
2 4 3 1
Cartesian
0.000 2.179 2.414 Ac
2.179 0.000 7.558 Ac
0.000 0.000 0.000 Cu
0.000 2.179 6.322 Cu
2.179 0.000 3.650 Cu
2.179 2.179 0.000 Cu
0.000 2.179 8.747 Si
2.179 0.000 1.225 Si
2.179 2.179 4.986 Si
0.000 0.000 4.986 Ag
```



(6)
VASP calculation (PBE-GGA) on crystalline AcCuAgSn2 at its relaxed geometry.

Calculated values
Its size of the total moment is 0.00 μB per cell. As for the total energy: -4.22 eV per atom. Its calculated formation energy is -39 kJ per mole of atoms.

Cell and atoms, written as POSCAR:
```
AcCuAgSn2
1.0
-2.346 2.346 5.640
2.346 -2.346 5.640
2.346 2.346 -5.640
Ac Cu Ag Sn
1 1 1 2
Cartesian
0.000 0.000 0.000 Ac
2.346 0.000 2.820 Cu
0.000 2.346 2.820 Ag
0.000 0.000 4.201 Sn
0.000 0.000 7.080 Sn
```



(7)
VASP calculation (PBE-GGA) on crystalline Ac2Cu3AgSn4 at its relaxed geometry.

Calculated values
Its size of the total moment is 0.00 μB per cell. As for the total energy: -4.38 eV per atom. Its calculated formation energy is -43 kJ per mole of atoms.

Cell and atoms, written as POSCAR:
```
Ac2Cu3AgSn4
1.0
4.643 0.000 0.000
0.000 4.643 0.000
0.000 0.000 10.988
Ac Cu Ag Sn
2 3 1 4
Cartesian
0.000 2.321 2.710 Ac
2.321 0.000 8.278 Ac
0.000 0.000 0.000 Cu
0.000 2.321 6.912 Cu
2.321 0.000 4.076 Cu
2.321 2.321 0.000 Ag
0.000 0.000 5.494 Sn
0.000 2.321 9.515 Sn
2.321 0.000 1.473 Sn
2.321 2.321 5.494 Sn
```



(8)
VASP calculation (PBE-GGA) on crystalline Ac2Cu4AgSn3 at its relaxed geometry.

Calculated values
Its size of the total moment is 0.00 μB per cell. As for the total energy: -4.34 eV per atom. Its calculated formation energy is -38 kJ per mole of atoms.

Cell and atoms, written as POSCAR:
```
Ac2Cu4AgSn3
1.0
4.631 0.000 0.000
0.000 4.631 0.000
0.000 0.000 10.454
Ac Cu Ag Sn
2 4 1 3
Cartesian
0.000 2.316 2.531 Ac
2.316 0.000 7.923 Ac
0.000 0.000 0.000 Cu
0.000 2.316 6.524 Cu
2.316 0.000 3.931 Cu
2.316 2.316 0.000 Cu
0.000 0.000 5.227 Ag
0.000 2.316 9.123 Sn
2.316 0.000 1.332 Sn
2.316 2.316 5.227 Sn
```



(9)
VASP calculation (PBE-GGA) on crystalline Ac2CuAg3Sn4 at its relaxed geometry.

Calculated values
Its size of the total moment is 0.00 μB per cell. As for the total energy: -4.11 eV per atom. Its calculated formation energy is -40 kJ per mole of atoms.

Cell and atoms, written as POSCAR:
```
Ac2CuAg3Sn4
1.0
4.705 0.000 0.000
0.000 4.705 0.000
0.000 0.000 11.531
Ac Cu Ag Sn
2 1 3 4
Cartesian
0.000 2.352 2.698 Ac
2.352 0.000 8.833 Ac
2.352 2.352 0.000 Cu
0.000 0.000 0.000 Ag
0.000 2.352 7.403 Ag
2.352 0.000 4.128 Ag
0.000 0.000 5.765 Sn
0.000 2.352 10.121 Sn
2.352 0.000 1.410 Sn
2.352 2.352 5.765 Sn
```



(10)
VASP calculation (PBE-GGA) on crystalline SrAcCuAg at its relaxed geometry.

Calculated values
Its size of the total moment is 0.00 μB per cell. As for the total energy: -3.36 eV per atom. Its calculated formation energy is -17 kJ per mole of atoms. The calculation puts the energy above the most stable polymorph in this dataset at 0.0000 eV per atom.

Cell and atoms, written as POSCAR:
```
SrAcCuAg
1.0
4.655 0.000 0.000
0.000 2.164 6.034
0.000 -2.164 6.034
Sr Ac Cu Ag
1 1 1 1
Cartesian
0.000 0.000 0.000 Sr
2.327 0.000 8.714 Ac
0.000 0.000 3.478 Cu
2.327 0.000 5.156 Ag
```



(11)
VASP calculation (PBE-GGA) on crystalline SrAcCuAg at its relaxed geometry.

Calculated values
Its size of the total moment is 0.00 μB per cell. As for the total energy: -3.32 eV per atom. Its calculated formation energy is -13 kJ per mole of atoms. The calculation puts the energy above the most stable polymorph in this dataset at 0.0409 eV per atom.

Cell and atoms, written as POSCAR:
```
SrAcCuAg
1.0
0.000 3.869 3.869
3.869 0.000 3.869
3.869 3.869 0.000
Sr Ac Cu Ag
1 1 1 1
Cartesian
0.000 0.000 0.000 Sr
3.869 3.869 3.869 Ac
1.934 1.934 1.934 Cu
5.803 5.803 5.803 Ag
```



(12)
VASP calculation (PBE-GGA) on crystalline AcCuAgTe3 at its relaxed geometry.

Calculated values
For the formation energy from raw total energies, the calculation gives -0.621 eV/atom. Its size of the total moment is 0.00 μB per cell. As for the total energy: -4.03 eV per atom.

Cell and atoms, written as POSCAR:
```
AcCuAgTe3
1.0
8.880 0.000 0.000
0.000 4.423 0.000
-0.317 0.000 9.346
Ac Cu Ag Te
2 2 2 6
Cartesian
1.249 1.106 2.014 Ac
7.314 3.317 7.332 Ac
0.394 1.106 5.317 Cu
8.169 3.317 4.029 Cu
2.881 3.317 8.311 Ag
5.682 1.106 1.034 Ag
0.871 1.106 7.939 Te
1.818 3.317 4.679 Te
3.760 3.317 1.738 Te
4.804 1.106 7.608 Te
6.745 1.106 4.667 Te
7.692 3.317 1.407 Te
```



Q: What is the size of the total moment in the sixth record?
A: 0.00 μB per cell